Rb3Ag2HgCl8 | PBE | relaxed

```
data_Rb3Ag2HgCl8
_chemical_formula_sum 'Rb3 Ag2 Hg1 Cl8'
_space_group_name_H-M_alt 'P -3 m 1'
_space_group_IT_number 164
_space_group_name_Hall '-P 3 2"'
_cell_length_a 7.3497
_cell_length_b 7.3497
_cell_length_c 9.7360
_cell_angle_alpha 90.00
_cell_angle_beta 90.00
_cell_angle_gamma 120.00
loop_
_atom_site_label
_atom_site_type_symbol
_atom_site_fract_x
_atom_site_fract_y
_atom_site_fract_z
Rb1 Rb 0.0000 0.0000 0.0000
Rb2 Rb 0.3333 0.6667 0.6152
Ag1 Ag 0.3333 0.6667 0.1855
Hg1 Hg 0.0000 0.0000 0.5000
Cl1 Cl 0.1654 0.3308 0.3325
Cl2 Cl 0.3333 0.6667 0.9396
```

Output
Total magnetic moment: 0.0 μB/f.u.
Mass density: 3487 kg/m³
E: -2.758 eV/atom
Formation energy from raw total energies: -1.067 eV/atom



NdDy3Si4 | PBE | relaxed

```
data_NdDy3Si4
_chemical_formula_sum 'Nd2 Dy6 Si8'
_space_group_name_H-M_alt 'I m m m'
_space_group_IT_number 71
_space_group_name_Hall '-I 2 2'
_cell_length_a 3.911
_cell_length_b 6.370
_cell_length_c 15.803
_cell_angle_alpha 90.00
_cell_angle_beta 90.00
_cell_angle_gamma 90.00
loop_
_atom_site_label
_atom_site_type_symbol
_atom_site_fract_x
_atom_site_fract_y
_atom_site_fract_z
Nd1 Nd 0.000 0.000 0.000
Dy1 Dy 0.000 0.000 0.500
Dy2 Dy 0.000 0.500 0.304
Si1 Si 0.000 0.317 0.133
```

Output
Total magnetic moment: 0.0 μB/f.u.
Mass density: 6278 kg/m³
E: -5.547 eV/atom
Formation energy from raw total energies: -0.514 eV/atom



LiTb2Si4Pd3 | PBE | relaxed

```
data_LiTb2Si4Pd3
_chemical_formula_sum 'Li1 Tb2 Si4 Pd3'
_space_group_name_H-M_alt 'P -4 m 2'
_space_group_IT_number 115
_cell_length_a 4.124
_cell_length_b 4.124
_cell_length_c 10.197
_cell_angle_alpha 90.00
_cell_angle_beta 90.00
_cell_angle_gamma 90.00
loop_
_space_group_symop_operation_xyz
'x,y,z'
'y,-x,-z'
'-x,-y,z'
'-y,x,-z'
'-x,y,z'
'-y,-x,-z'
'x,-y,z'
'y,x,-z'
loop_
_atom_site_label
_atom_site_type_symbol
_atom_site_fract_x
_atom_site_fract_y
_atom_site_fract_z
Li1 Li 0.000 0.000 0.000
Tb1 Tb 0.000 0.500 0.751
Si1 Si 0.000 0.000 0.500
Si2 Si 0.000 0.500 0.138
Si3 Si 0.500 0.500 0.500
Pd1 Pd 0.000 0.500 0.375
Pd2 Pd 0.500 0.500 0.000
```

Output
Total magnetic moment: 0.0 μB/f.u.
Mass density: 7241 kg/m³
E: -5.627 eV/atom
Formation energy from raw total energies: -0.783 eV/atom



Hf4SnAu | PBE | relaxed

```
data_Hf4SnAu
_chemical_formula_sum 'Hf16 Sn4 Au4'
_space_group_name_H-M_alt 'C m c m'
_space_group_IT_number 63
_space_group_name_Hall '-C 2c 2'
_cell_length_a 8.737
_cell_length_b 7.708
_cell_length_c 8.730
_cell_angle_alpha 90.00
_cell_angle_beta 90.00
_cell_angle_gamma 90.00
loop_
_atom_site_label
_atom_site_type_symbol
_atom_site_fract_x
_atom_site_fract_y
_atom_site_fract_z
Hf1 Hf 0.000 0.236 0.004
Hf2 Hf 0.247 0.241 0.750
Sn1 Sn 0.000 0.496 0.750
Au1 Au 0.000 0.003 0.250
```

Output
Total magnetic moment: 0.0 μB/f.u.
Mass density: 11633 kg/m³
E: -7.670 eV/atom
Energy relative to the elements: 0.18 eV/atom



NdThTlSn | PBE | relaxed

```
data_NdThTlSn
_chemical_formula_sum 'Nd4 Th4 Tl4 Sn4'
_space_group_name_H-M_alt 'F -4 3 m'
_space_group_IT_number 216
_space_group_name_Hall 'F -4 2 3'
_cell_length_a 7.785
_cell_length_b 7.785
_cell_length_c 7.785
_cell_angle_alpha 90.00
_cell_angle_beta 90.00
_cell_angle_gamma 90.00
loop_
_atom_site_label
_atom_site_type_symbol
_atom_site_fract_x
_atom_site_fract_y
_atom_site_fract_z
Nd1 Nd 0.000 0.000 0.000
Th1 Th 0.000 0.000 0.500
Tl1 Tl 0.250 0.250 0.250
Sn1 Sn 0.250 0.250 0.750
```

Output
Total magnetic moment: 0.0 μB/f.u.
Mass density: 9845 kg/m³
E: -4.981 eV/atom
Energy relative to the elements: -0.34 eV/atom



HfCoBr2 | PBE | relaxed

```
data_HfCoBr2
_chemical_formula_sum 'Hf4 Co4 Br8'
_space_group_name_H-M_alt 'I -4 2 d'
_space_group_IT_number 122
_space_group_name_Hall 'I -4 2bw'
_cell_length_a 5.958
_cell_length_b 5.958
_cell_length_c 10.306
_cell_angle_alpha 90.00
_cell_angle_beta 90.00
_cell_angle_gamma 90.00
loop_
_atom_site_label
_atom_site_type_symbol
_atom_site_fract_x
_atom_site_fract_y
_atom_site_fract_z
Hf1 Hf 0.000 0.000 0.000
Co1 Co 0.000 0.000 0.500
Br1 Br 0.206 0.250 0.625
```

Output
Total magnetic moment: 0.3 μB/f.u.
Mass density: 7212 kg/m³
E above lowest polymorph: 390 meV per atom
E: -4.702 eV/atom
Formation energy from raw total energies: 0.399 eV/atom



Li2BIr | PBE | relaxed

```
data_Li2BIr
_chemical_formula_sum 'Li8 B4 Ir4'
_space_group_name_H-M_alt 'I -4 2 d'
_space_group_IT_number 122
_space_group_name_Hall 'I -4 2bw'
_cell_length_a 6.672
_cell_length_b 6.672
_cell_length_c 4.178
_cell_angle_alpha 90.00
_cell_angle_beta 90.00
_cell_angle_gamma 90.00
loop_
_atom_site_label
_atom_site_type_symbol
_atom_site_fract_x
_atom_site_fract_y
_atom_site_fract_z
Li1 Li 0.200 0.250 0.125
B1 B 0.000 0.000 0.000
Ir1 Ir 0.000 0.000 0.500
```

Output
Total magnetic moment: 0.0 μB/f.u.
Mass density: 7746 kg/m³
E above lowest polymorph: 364 meV per atom
E: -4.703 eV/atom
Energy relative to the elements: 0.14 eV/atom



RbNpPdCl6 | PBE | relaxed

```
data_RbNpPdCl6
_chemical_formula_sum 'Rb1 Np1 Pd1 Cl6'
_space_group_name_H-M_alt 'P 1'
_space_group_IT_number 1
_cell_length_a 6.619
_cell_length_b 6.627
_cell_length_c 7.643
_cell_angle_alpha 91.71
_cell_angle_beta 91.86
_cell_angle_gamma 116.09
loop_
_space_group_symop_operation_xyz
'x,y,z'
loop_
_atom_site_label
_atom_site_type_symbol
_atom_site_fract_x
_atom_site_fract_y
_atom_site_fract_z
Rb1 Rb 0.000 0.000 0.000
Np1 Np 0.644 0.355 0.500
Pd1 Pd 0.310 0.688 0.501
Cl1 Cl 0.334 0.030 0.674
Cl2 Cl 0.338 0.400 0.292
Cl3 Cl 0.600 0.660 0.708
Cl4 Cl 0.638 0.055 0.269
Cl5 Cl 0.946 0.360 0.728
Cl6 Cl 0.969 0.667 0.326
```

Output
Total magnetic moment: 1.9 μB/f.u.
Mass density: 3545 kg/m³
E: -4.735 eV/atom
Formation energy from raw total energies: -1.382 eV/atom



SiPd2RuAu | PBE | relaxed

```
data_SiPd2RuAu
_chemical_formula_sum 'Si1 Pd2 Ru1 Au1'
_space_group_name_H-M_alt 'P 4/m m m'
_space_group_IT_number 123
_space_group_name_Hall '-P 4 2'
_cell_length_a 4.933
_cell_length_b 4.933
_cell_length_c 4.860
_cell_angle_alpha 90.00
_cell_angle_beta 90.00
_cell_angle_gamma 90.00
loop_
_atom_site_label
_atom_site_type_symbol
_atom_site_fract_x
_atom_site_fract_y
_atom_site_fract_z
Si1 Si 0.000 0.000 0.000
Pd1 Pd 0.000 0.500 0.500
Ru1 Ru 0.500 0.500 0.000
Au1 Au 0.500 0.500 0.500
```

Output
Total magnetic moment: 2.3 μB/f.u.
Mass density: 7568 kg/m³
E: -4.090 eV/atom
Formation energy from raw total energies: 1.582 eV/atom



ZnNi6Sn | PBE | relaxed

```
data_ZnNi6Sn
_chemical_formula_sum 'Zn1 Ni6 Sn1'
_space_group_name_H-M_alt 'P -6 m 2'
_space_group_IT_number 187
_space_group_name_Hall 'P -6 2'
_cell_length_a 5.2188
_cell_length_b 5.2188
_cell_length_c 4.1658
_cell_angle_alpha 90.00
_cell_angle_beta 90.00
_cell_angle_gamma 120.00
loop_
_atom_site_label
_atom_site_type_symbol
_atom_site_fract_x
_atom_site_fract_y
_atom_site_fract_z
Zn1 Zn 0.0000 0.0000 0.0000
Ni1 Ni 0.3370 0.1685 0.5000
Ni2 Ni 0.5087 0.0174 0.0000
Sn1 Sn 0.3333 0.6667 0.5000
```

Output
Total magnetic moment: 0.9 μB/f.u.
Mass density: 9061 kg/m³
E: -5.129 eV/atom
Energy relative to the elements: -0.13 eV/atom



CsRb12Na3 | PBE | relaxed

```
data_CsRb12Na3
_chemical_formula_sum 'Cs1 Rb12 Na3'
_space_group_name_H-M_alt 'P 4/m m m'
_space_group_IT_number 123
_space_group_name_Hall '-P 4 2'
_cell_length_a 6.913
_cell_length_b 6.913
_cell_length_c 26.931
_cell_angle_alpha 90.00
_cell_angle_beta 90.00
_cell_angle_gamma 90.00
loop_
_atom_site_label
_atom_site_type_symbol
_atom_site_fract_x
_atom_site_fract_y
_atom_site_fract_z
Cs1 Cs 0.000 0.000 0.000
Rb1 Rb 0.000 0.500 0.144
Rb2 Rb 0.000 0.500 0.381
Rb3 Rb 0.500 0.500 0.000
Rb4 Rb 0.500 0.500 0.263
Rb5 Rb 0.500 0.500 0.500
Na1 Na 0.000 0.000 0.260
Na2 Na 0.000 0.000 0.500
```

Output
Total magnetic moment: 0.0 μB/f.u.
Mass density: 1584 kg/m³
E: -0.998 eV/atom
Energy relative to the elements: 0.03 eV/atom



TaMo2Pb | PBE | relaxed

```
data_TaMo2Pb
_chemical_formula_sum 'Ta1 Mo2 Pb1'
_space_group_name_H-M_alt 'P 4/m m m'
_space_group_IT_number 123
_space_group_name_Hall '-P 4 2'
_cell_length_a 3.453
_cell_length_b 3.453
_cell_length_c 6.200
_cell_angle_alpha 90.00
_cell_angle_beta 90.00
_cell_angle_gamma 90.00
loop_
_atom_site_label
_atom_site_type_symbol
_atom_site_fract_x
_atom_site_fract_y
_atom_site_fract_z
Ta1 Ta 0.000 0.000 0.000
Mo1 Mo 0.500 0.500 0.222
Pb1 Pb 0.000 0.000 0.500
```

Output
Total magnetic moment: 0.0 μB/f.u.
Mass density: 13029 kg/m³
E: -8.953 eV/atom
Energy relative to the elements: 0.35 eV/atom



MnZn3Cu12 | PBE | relaxed

```
data_MnZn3Cu12
_chemical_formula_sum 'Mn1 Zn3 Cu12'
_space_group_name_H-M_alt 'P 4/m m m'
_space_group_IT_number 123
_space_group_name_Hall '-P 4 2'
_cell_length_a 3.706
_cell_length_b 3.706
_cell_length_c 14.523
_cell_angle_alpha 90.00
_cell_angle_beta 90.00
_cell_angle_gamma 90.00
loop_
_atom_site_label
_atom_site_type_symbol
_atom_site_fract_x
_atom_site_fract_y
_atom_site_fract_z
Mn1 Mn 0.000 0.000 0.000
Zn1 Zn 0.000 0.000 0.250
Zn2 Zn 0.000 0.000 0.500
Cu1 Cu 0.000 0.500 0.125
Cu2 Cu 0.000 0.500 0.375
Cu3 Cu 0.500 0.500 0.000
Cu4 Cu 0.500 0.500 0.250
Cu5 Cu 0.500 0.500 0.500
```

Output
Total magnetic moment: 3.9 μB/f.u.
Mass density: 8438 kg/m³
E: -3.907 eV/atom
Energy relative to the elements: -0.02 eV/atom



BeRuPt2 | PBE | relaxed

```
data_BeRuPt2
_chemical_formula_sum 'Be1 Ru1 Pt2'
_space_group_name_H-M_alt 'P 1 2/m 1'
_space_group_IT_number 10
_cell_length_a 2.754
_cell_length_b 3.879
_cell_length_c 5.244
_cell_angle_alpha 90.00
_cell_angle_beta 101.89
_cell_angle_gamma 90.00
loop_
_space_group_symop_operation_xyz
'x,y,z'
'-x,-y,-z'
'-x,y,-z'
'x,-y,z'
loop_
_atom_site_label
_atom_site_type_symbol
_atom_site_fract_x
_atom_site_fract_y
_atom_site_fract_z
Be1 Be 0.000 0.000 0.000
Ru1 Ru 0.000 0.000 0.500
Pt1 Pt 0.388 0.500 0.237
```

Output
Total magnetic moment: 0.0 μB/f.u.
Mass density: 15157 kg/m³
E: -6.406 eV/atom
Energy relative to the elements: -0.14 eV/atom



Hf3MgTc | PBE | relaxed

```
data_Hf3MgTc
_chemical_formula_sum 'Hf3 Mg1 Tc1'
_space_group_name_H-M_alt 'P m -3 m'
_space_group_IT_number 221
_space_group_name_Hall '-P 4 2 3'
_cell_length_a 4.866
_cell_length_b 4.866
_cell_length_c 4.866
_cell_angle_alpha 90.00
_cell_angle_beta 90.00
_cell_angle_gamma 90.00
loop_
_atom_site_label
_atom_site_type_symbol
_atom_site_fract_x
_atom_site_fract_y
_atom_site_fract_z
Hf1 Hf 0.000 0.000 0.500
Mg1 Mg 0.000 0.000 0.000
Tc1 Tc 0.500 0.500 0.500
```

Output
Total magnetic moment: 0.0 μB/f.u.
Mass density: 9483 kg/m³
E above lowest polymorph: 1228 meV per atom
E: -6.681 eV/atom
Energy relative to the elements: 1.68 eV/atom



Tb2BiTe | PBE | relaxed

```
data_Tb2BiTe
_chemical_formula_sum 'Tb6 Bi3 Te3'
_space_group_name_H-M_alt 'R 3 m'
_space_group_IT_number 160
_space_group_name_Hall 'R 3 -2"'
_cell_length_a 4.3389
_cell_length_b 4.3389
_cell_length_c 23.0288
_cell_angle_alpha 90.00
_cell_angle_beta 90.00
_cell_angle_gamma 120.00
loop_
_atom_site_label
_atom_site_type_symbol
_atom_site_fract_x
_atom_site_fract_y
_atom_site_fract_z
Tb1 Tb 0.0000 0.0000 0.0000
Tb2 Tb 0.0000 0.0000 0.1734
Bi1 Bi 0.0000 0.0000 0.5883
Te1 Te 0.0000 0.0000 0.4190
```

Output
Total magnetic moment: 0.2 μB/f.u.
Mass density: 8683 kg/m³
E above lowest polymorph: 65 meV per atom
E: -5.130 eV/atom
Formation energy from raw total energies: -1.059 eV/atom



Cs12Pd3Br5 | PBE | relaxed

```
data_Cs12Pd3Br5
_chemical_formula_sum 'Cs96 Pd24 Br40'
_space_group_name_H-M_alt 'I a -3 d'
_space_group_IT_number 230
_space_group_name_Hall '-I 4bd 2c 3'
_cell_length_a 21.283
_cell_length_b 21.283
_cell_length_c 21.283
_cell_angle_alpha 90.00
_cell_angle_beta 90.00
_cell_angle_gamma 90.00
loop_
_atom_site_label
_atom_site_type_symbol
_atom_site_fract_x
_atom_site_fract_y
_atom_site_fract_z
Cs1 Cs 0.016 0.070 0.655
Pd1 Pd 0.000 0.250 0.125
Br1 Br 0.000 0.000 0.000
Br2 Br 0.000 0.250 0.375
```

Output
Total magnetic moment: 0.3 μB/f.u.
Mass density: 3188 kg/m³
E: -2.482 eV/atom
Formation energy from raw total energies: -0.773 eV/atom



Si2Bi2Sb | PBE | relaxed

```
data_Si2Bi2Sb
_chemical_formula_sum 'Si4 Bi4 Sb2'
_space_group_name_H-M_alt 'I 4/m m m'
_space_group_IT_number 139
_space_group_name_Hall '-I 4 2'
_cell_length_a 3.471
_cell_length_b 3.471
_cell_length_c 20.922
_cell_angle_alpha 90.00
_cell_angle_beta 90.00
_cell_angle_gamma 90.00
loop_
_atom_site_label
_atom_site_type_symbol
_atom_site_fract_x
_atom_site_fract_y
_atom_site_fract_z
Si1 Si 0.000 0.500 0.250
Bi1 Bi 0.000 0.000 0.119
Sb1 Sb 0.000 0.000 0.500
```

Output
Total magnetic moment: 0.0 μB/f.u.
Mass density: 7852 kg/m³
E above lowest polymorph: 0 meV per atom
E: -4.210 eV/atom
Formation energy from raw total energies: 0.336 eV/atom



CaHoTm | PBE | relaxed

```
data_CaHoTm
_chemical_formula_sum 'Ca2 Ho2 Tm2'
_space_group_name_H-M_alt 'I 4 m m'
_space_group_IT_number 107
_space_group_name_Hall 'I 4 -2'
_cell_length_a 3.604
_cell_length_b 3.604
_cell_length_c 15.464
_cell_angle_alpha 90.00
_cell_angle_beta 90.00
_cell_angle_gamma 90.00
loop_
_atom_site_label
_atom_site_type_symbol
_atom_site_fract_x
_atom_site_fract_y
_atom_site_fract_z
Ca1 Ca 0.000 0.000 0.000
Ho1 Ho 0.000 0.000 0.322
Tm1 Tm 0.000 0.000 0.676
```

Output
Total magnetic moment: 0.0 μB/f.u.
Mass density: 6183 kg/m³
E above lowest polymorph: 7 meV per atom
E: -3.602 eV/atom
Energy relative to the elements: 0.08 eV/atom



SrFeBiIr2 | PBE | relaxed

```
data_SrFeBiIr2
_chemical_formula_sum 'Sr1 Fe1 Bi1 Ir2'
_space_group_name_H-M_alt 'P 4/m m m'
_space_group_IT_number 123
_space_group_name_Hall '-P 4 2'
_cell_length_a 4.599
_cell_length_b 4.599
_cell_length_c 5.226
_cell_angle_alpha 90.00
_cell_angle_beta 90.00
_cell_angle_gamma 90.00
loop_
_atom_site_label
_atom_site_type_symbol
_atom_site_fract_x
_atom_site_fract_y
_atom_site_fract_z
Sr1 Sr 0.000 0.000 0.000
Fe1 Fe 0.000 0.000 0.500
Bi1 Bi 0.500 0.500 0.000
Ir1 Ir 0.000 0.500 0.500
```

Output
Total magnetic moment: 0.0 μB/f.u.
Mass density: 11071 kg/m³
E: -5.599 eV/atom
Energy relative to the elements: 0.75 eV/atom